Entry from Alexandria: a geometry-optimized Al2MoN structure (PBE-GGA).

Properties
energy relative to the elements, uncorrected	0.05	eV/atom
symmetry	I-42d, No. 122

Cell lengths 5.177, 5.177, 5.177 Å; angles 103.10, 103.10, 123.15 degrees
Fractional positions:
Al: 0.034 0.625 0.909
Al: 0.375 0.284 0.409
Al: 0.716 0.125 0.091
Al: 0.875 0.966 0.591
Mo: 0.250 0.750 0.500
Mo: 0.500 0.500 0.000
N: 0.000 0.000 0.000
N: 0.750 0.250 0.500